Record 1
VASP calculation (PBE-GGA) on RbNi3Pt after structural relaxation.

a = 4.793 Å, b = 4.793 Å, c = 4.793 Å
α = 90.00°, β = 90.00°, γ = 90.00°
Each line ends with the local moment (μB).
Element x y z (fractional)
1 Ni 0.000 0.500 0.000  0.93
2 Ni 0.000 0.000 0.500  1.22
3 Ni 0.500 0.000 0.000  0.53
4 Pt 0.000 0.000 0.000  0.47
5 Rb 0.500 0.500 0.500  -0.01

Energy of formation = 816 meV/atom
Space group = No. 221
Energy relative to the lowest polymorph listed for this composition = 0.0 meV per atom
Magnetization = 3.090 μB/f.u.

Record 2
VASP calculation (PBE-GGA) on TiAg2Au6 after structural relaxation.

a = 5.356 Å, b = 7.968 Å, c = 7.968 Å
α = 100.35°, β = 96.18°, γ = 96.18°
Element x y z (fractional)
1 Ag 0.895 0.617 0.646
2 Ag 0.605 0.354 0.383
3 Au 0.775 0.042 0.234
4 Au 0.725 0.766 0.958
5 Au 0.511 0.331 0.732
6 Au 0.782 0.429 0.066
7 Ag 0.395 0.646 0.617
8 Au 0.718 0.934 0.571
9 Au 0.011 0.732 0.331
10 Au 0.489 0.669 0.268
11 Ti 0.750 0.095 0.905
12 Au 0.282 0.066 0.429
13 Au 0.989 0.268 0.669
14 Ti 0.250 0.905 0.095
15 Au 0.225 0.958 0.766
16 Ag 0.105 0.383 0.354
17 Au 0.275 0.234 0.042
18 Au 0.218 0.571 0.934

Energy of formation = -38 meV/atom
Space group = No. 15
Magnetization = 0.000 μB/f.u.

- Look up the energy of formation of the first one.
  816 meV/atom

- Number 1 is which compound?
  RbNi3Pt